Here is Ca4MnTl after structural relaxation from the Alexandria database. Energies are from GGA-PBE.

Unit cell a=9.476 b=9.476 c=9.476 alpha=90.00 beta=90.00 gamma=90.00
Space group F-43m (No. 216)
Unique sites:
Ca 0.125 0.125 0.125 x16
Mn 0.250 0.250 0.750 x4
Tl 0.000 0.000 0.500 x4

DOS(E_F): 1.28 states/eV per atom
E_form: 0.5393 eV per atom
Total DFT energy (no corrections): -2.7177 eV/atom